PBE LaPmNd2Se4, relaxed; SG = Imma; ΔE_f (raw) = -1.875 eV per atom; E = -48.2 eV per formula unit
1.0
-4.244 4.246 6.001
4.244 -4.246 6.001
4.244 4.246 -6.001
La Pm Nd Se
2 2 4 8
Cartesian
0.000 0.000 0.000 La
0.000 4.246 0.000 La
-2.122 2.123 3.001 Pm
2.122 2.123 3.001 Pm
2.122 2.123 -3.001 Nd
2.122 -2.123 3.001 Nd
4.244 0.000 0.000 Nd
0.000 0.000 6.001 Nd
2.147 2.123 0.013 Se
6.341 2.123 0.013 Se
4.244 0.018 2.984 Se
0.000 0.018 3.017 Se
4.244 4.228 2.984 Se
0.000 4.228 3.017 Se
-2.097 2.123 5.988 Se
2.097 2.123 5.988 Se